FeW | the Alexandria database | PBE-GGA | optimized geometry; DOS at the Fermi energy = 2.4 states/eV/f.u.; uncorrected energy = -0.37072 Ha/atom; symmetry = Fddd; total magnetization = 0.000 μB per formula unit; formation enthalpy at 0 K = 1.24 eV per formula unit
1.0
-1.192 -6.014 -1.023
2.799 -1.732 6.916
-8.616 1.070 3.755
Fe W
16 16
Cartesian
-0.232 -1.169 -0.199 Fe
-0.961 -4.845 -0.824 Fe
-0.121 -1.366 6.069 Fe
-0.585 -3.704 5.671 Fe
-3.140 -1.500 5.136 Fe
-3.869 -5.176 4.511 Fe
-5.829 0.035 4.488 Fe
-6.292 -2.303 4.090 Fe
-5.136 -3.641 1.167 Fe
-4.672 -1.303 1.565 Fe
-5.026 -3.838 7.434 Fe
-5.489 -6.176 7.036 Fe
0.571 -5.041 2.747 Fe
1.035 -2.704 3.145 Fe
-2.117 -3.507 2.099 Fe
-2.580 -5.845 1.701 Fe
1.964 -1.215 4.852 W
0.835 -0.517 2.064 W
-2.317 -1.320 1.017 W
-1.188 -2.018 3.806 W
-3.744 0.186 3.272 W
-2.074 -0.848 7.399 W
-5.225 -1.651 6.353 W
-4.097 -2.349 9.141 W
-2.941 -3.687 6.218 W
-4.069 -2.989 3.429 W
-7.221 -3.792 2.383 W
-6.092 -4.490 5.172 W
-0.032 -3.356 0.883 W
1.638 -4.389 5.010 W
-1.514 -5.192 3.964 W
-0.385 -5.891 6.752 W



Pm2Zn3Au9 | the Alexandria database | PBE-GGA | optimized geometry; DOS at the Fermi energy = 5.0 states/eV/f.u.; uncorrected energy = -0.13047 Ha/atom; symmetry = C2/c; total magnetization = 0.000 μB per formula unit; formation enthalpy at 0 K = -6.89 eV per formula unit
1.0
7.346 -0.035 -3.118
-4.314 6.715 0.018
0.236 0.224 10.940
Pm Zn Au
4 6 18
Cartesian
1.556 1.834 7.170 Pm
1.712 5.069 0.670 Pm
5.000 4.055 5.095 Pm
-1.732 2.848 2.745 Pm
3.673 -0.018 -1.559 Zn
1.634 3.451 3.920 Zn
5.634 1.279 2.826 Zn
-2.365 5.624 5.014 Zn
0.006 2.591 10.376 Zn
3.262 4.312 -2.536 Zn
-0.509 6.306 6.794 Au
3.777 0.597 1.046 Au
2.088 4.836 6.168 Au
1.181 2.066 1.672 Au
0.782 4.551 8.745 Au
2.486 2.351 -0.906 Au
-0.528 3.672 5.570 Au
3.796 3.230 2.269 Au
6.111 1.076 5.432 Au
-2.843 5.826 2.407 Au
-3.125 6.760 9.776 Au
6.394 0.143 -1.936 Au
3.351 1.402 4.569 Au
-0.083 5.501 3.271 Au
2.856 5.848 3.523 Au
0.412 1.055 4.317 Au
4.690 2.221 7.730 Au
-1.422 4.682 0.109 Au



GdLuScPd | the Alexandria database | PBE-GGA | optimized geometry; DOS at the Fermi energy = 4.5 states/eV/f.u.; uncorrected energy = -0.28410 Ha/atom; symmetry = F-43m; total magnetization = 7.386 μB per formula unit; formation enthalpy at 0 K = -0.80 eV per formula unit
1.0
5.124 0.000 0.000
2.562 4.438 0.000
2.562 1.479 4.184
Gd Sc Lu Pd
1 1 1 1
Cartesian
2.562 1.479 1.046 Gd
0.000 0.000 0.000 Sc
7.686 4.438 3.138 Lu
5.124 2.958 2.092 Pd



Tb2Pr6Sm3Pb | the Alexandria database | PBE-GGA | optimized geometry; DOS at the Fermi energy = 14.4 states/eV/f.u.; uncorrected energy = -0.17255 Ha/atom; symmetry = C2/m; total magnetization = 0.000 μB per formula unit; formation enthalpy at 0 K = -0.54 eV per formula unit
1.0
6.299 -0.012 0.038
-3.158 5.450 0.038
-1.141 -1.976 11.798
Tb Pr Sm Pb
2 6 3 1
Cartesian
0.007 3.622 0.038 Tb
3.134 1.816 0.038 Tb
3.050 1.727 8.953 Pr
2.094 3.626 2.993 Pr
-1.050 1.737 2.921 Pr
-0.029 3.505 8.953 Pr
-0.094 -0.163 8.881 Pr
2.029 -0.042 2.921 Pr
-2.124 3.536 5.937 Sm
4.124 -0.073 5.937 Sm
1.000 1.732 5.937 Sm
0.000 0.000 0.000 Pb



Cs2CdOsO4 | the Alexandria database | PBE-GGA | optimized geometry; uncorrected energy = -0.19192 Ha/atom; symmetry = Fddd; total magnetization = 0.000 μB per formula unit
1.0
6.804 0.000 0.000
3.402 6.677 0.000
3.402 0.000 10.829
Cs Cd Os O
4 2 2 8
Cartesian
3.402 0.000 6.870 Cs
6.804 0.000 3.959 Cs
8.505 3.339 9.373 Cs
8.505 3.339 1.456 Cs
8.505 3.339 5.415 Cd
0.000 0.000 0.000 Cd
5.103 3.339 5.415 Os
3.402 0.000 0.000 Os
5.538 5.476 0.553 O
5.538 1.201 10.276 O
11.472 5.476 10.276 O
4.668 1.201 0.553 O
6.369 4.540 4.862 O
6.369 2.138 5.967 O
10.641 4.540 5.967 O
3.837 2.138 4.862 O



CaTiClO2 | the Alexandria database | PBE-GGA | optimized geometry; DOS at the Fermi energy = 1.2 states/eV/f.u.; uncorrected energy = -0.23138 Ha/atom; symmetry = P4/mmm; total magnetization = 0.842 μB per formula unit
1.0
3.847 0.000 0.000
0.000 6.436 0.000
0.000 0.000 3.847
Ca Cl O Ti
1 1 2 1
Cartesian
0.000 3.218 0.000 Ca
1.923 3.218 1.923 Cl
0.000 0.000 1.923 O
1.923 0.000 0.000 O
0.000 0.000 0.000 Ti